# LaNd

A relaxed structure of LaNd (PBE-GGA, the Open Quantum Materials Database).

```
4
Lattice="3.833 0.000 0.000 -1.916 3.319 0.000 0.000 0.000 10.741" Properties=species:S:1:pos:R:3 pbc="T T T"
La 0.000 2.213 2.685
La 1.916 1.106 8.056
Nd 0.000 0.000 0.000
Nd 0.000 0.000 5.370
```

## Properties
DFT formation energy in meV per atom: 103
Final energy in eV per atom: -4.740
Space group: P6_3/mmc, No. 194

# LaNd

A relaxed structure of LaNd (PBE-GGA, the Open Quantum Materials Database).

```
2
Lattice="3.735 0.000 0.000 -1.867 3.234 0.000 0.000 0.000 6.065" Properties=species:S:1:pos:R:3 pbc="T T T"
La 1.867 1.078 4.549
Nd 0.000 2.156 1.516
```

## Properties
DFT formation energy in meV per atom: 29
Final energy in eV per atom: -4.814
Space group: P-6m2, No. 187

# La4Nd3

A relaxed structure of La4Nd3 (PBE-GGA, the Open Quantum Materials Database).

```
14
Lattice="-5.043 5.043 5.043 5.043 -5.043 5.043 5.043 5.043 -5.043" Properties=species:S:1:pos:R:3 pbc="T T T"
La 0.767 -0.767 4.276
La -1.754 1.754 6.797
La 0.767 0.767 0.767
La -0.767 4.276 0.767
La 4.276 0.767 -0.767
La 6.797 -1.754 1.754
La 3.289 3.289 3.289
La 1.754 6.797 -1.754
Nd 1.261 0.000 7.565
Nd 0.000 2.522 3.782
Nd 3.782 0.000 2.522
Nd 2.522 3.782 0.000
Nd 0.000 7.565 1.261
Nd 7.565 1.261 0.000
```

## Properties
DFT formation energy in meV per atom: 248
Final energy in eV per atom: -4.606
Space group: I-43d, No. 220

# LaNd

A relaxed structure of LaNd (PBE-GGA, the Open Quantum Materials Database).

```
2
Lattice="2.268 1.869 3.636 -2.406 1.883 3.538 -0.093 -2.132 4.159" Properties=species:S:1:pos:R:3 pbc="T T T"
La 0.000 0.000 0.000
Nd -0.058 0.405 2.833
```

## Properties
DFT formation energy in meV per atom: 1247
Final energy in eV per atom: -3.596
Space group: F-43m, No. 216

# La2NdNi9

A relaxed structure of La2NdNi9 (PBE-GGA, the Open Quantum Materials Database).

```
12
Lattice="2.512 1.450 8.291 -2.512 1.450 8.291 0.000 -2.900 8.291" Properties=species:S:1:pos:R:3 pbc="T T T"
La 0.000 0.000 3.445
La 0.000 0.000 21.428
Nd 0.000 0.000 0.000
Ni 0.000 1.445 10.295
Ni 0.000 0.000 8.269
Ni 1.252 0.723 14.578
Ni -1.252 0.723 14.578
Ni 0.000 0.000 12.436
Ni 1.252 -0.723 10.295
Ni -1.252 -0.723 10.295
Ni 0.000 0.000 16.603
Ni 0.000 -1.445 14.578
```

## Properties
DFT formation energy in meV per atom: -329
Final energy in eV per atom: -5.722
Space group: R-3m, No. 166

# LaNdNi

A relaxed structure of LaNdNi (PBE-GGA, the Open Quantum Materials Database).

```
3
Lattice="2.631 -2.762 3.095 -1.748 -1.017 4.477 -1.475 -4.558 1.084" Properties=species:S:1:pos:R:3 pbc="T T T"
La -0.148 -2.084 2.164
Nd -0.444 -6.253 6.492
Ni 0.000 0.000 0.000
```

## Properties
DFT formation energy in meV per atom: -53
Final energy in eV per atom: -5.137
Space group: F-43m, No. 216

# LaNd2Ni9

A relaxed structure of LaNd2Ni9 (PBE-GGA, the Open Quantum Materials Database).

```
12
Lattice="2.659 7.433 3.840 5.271 7.006 -0.442 0.548 8.745 -0.538" Properties=species:S:1:pos:R:3 pbc="T T T"
La 0.000 0.000 0.000
Nd 1.174 3.212 0.396
Nd 7.303 19.973 2.464
Ni 4.646 9.094 1.928
Ni 2.818 7.708 0.951
Ni 4.884 13.437 3.115
Ni 6.186 13.224 0.980
Ni 4.239 11.593 1.430
Ni 2.291 9.961 1.880
Ni 3.594 9.748 -0.255
Ni 5.659 15.477 1.909
Ni 3.831 14.091 0.932
```

## Properties
DFT formation energy in meV per atom: -322
Final energy in eV per atom: -5.702
Space group: R-3m, No. 166

# LaNdNi4

A relaxed structure of LaNdNi4 (PBE-GGA, the Open Quantum Materials Database).

```
6
Lattice="0.000 3.659 3.659 3.659 0.000 3.659 3.659 3.659 0.000" Properties=species:S:1:pos:R:3 pbc="T T T"
La 0.000 0.000 0.000
Nd 5.489 5.489 5.489
Ni 2.745 2.745 2.745
Ni 2.745 4.574 4.574
Ni 4.574 2.745 4.574
Ni 4.574 4.574 2.745
```

## Properties
DFT formation energy in meV per atom: -319
Final energy in eV per atom: -5.645
Space group: F-43m, No. 216

# LaNdNi

A relaxed structure of LaNdNi (PBE-GGA, the Open Quantum Materials Database).

```
9
Lattice="4.535 0.000 0.000 0.000 6.565 3.789 0.000 -6.565 3.789" Properties=species:S:1:pos:R:3 pbc="T T T"
La 0.000 3.904 2.254
La 0.000 0.000 3.072
La 0.000 -3.904 2.254
Nd 0.000 0.000 0.000
Nd 2.267 2.188 3.789
Nd 2.267 -2.188 3.789
Ni 2.267 1.678 0.968
Ni 2.267 -1.678 0.968
Ni 2.267 0.000 5.642
```

## Properties
DFT formation energy in meV per atom: 105
Final energy in eV per atom: -4.979
Space group: P-62m, No. 189

# LaNdNi2Pb4

A relaxed structure of LaNdNi2Pb4 (PBE-GGA, the Open Quantum Materials Database).

```
8
Lattice="4.776 0.000 0.000 0.000 2.299 9.341 0.000 -2.299 9.341" Properties=species:S:1:pos:R:3 pbc="T T T"
La 0.000 0.000 2.081
Nd 2.388 0.000 16.601
Ni 0.000 0.000 5.928
Ni 2.388 0.000 12.751
Pb 2.388 0.000 4.729
Pb 0.000 0.000 8.438
Pb 2.388 0.000 10.220
Pb 0.000 0.000 13.978
```

## Properties
Final energy in eV per atom: -4.761
Space group: Amm2, No. 38

# LaNd2NiPt2Pb3

A relaxed structure of LaNd2NiPt2Pb3 (PBE-GGA, the Open Quantum Materials Database).

```
9
Lattice="-2.350 -1.085 -3.137 -1.379 -6.930 3.429 -4.733 6.100 1.437" Properties=species:S:1:pos:R:3 pbc="T T T"
La -3.681 -0.882 0.426
Nd -1.994 -4.645 0.464
Nd -3.980 3.068 -0.716
Ni -7.276 -1.370 3.289
Pb -2.542 -5.413 3.776
Pb -4.616 -0.627 3.675
Pb -5.063 4.381 2.279
Pt -2.494 -2.588 2.764
Pt -3.613 1.759 2.099
```

## Properties
Final energy in eV per atom: -5.558
Space group: Amm2, No. 38

# LaNd2Si4Ni2Pd2

A relaxed structure of LaNd2Si4Ni2Pd2 (PBE-GGA, the Open Quantum Materials Database).

```
11
Lattice="10.506 6.201 -2.348 7.664 9.664 1.492 -7.725 -9.372 2.614" Properties=species:S:1:pos:R:3 pbc="T T T"
La 0.000 0.000 0.000
Nd 4.172 0.843 0.002
Nd 6.273 5.650 1.756
Ni 4.531 3.956 -0.214
Ni 13.639 11.909 -0.643
Pd 8.634 4.739 -0.208
Pd 1.811 1.754 1.966
Si 8.180 7.143 -0.386
Si 9.989 8.722 -0.471
Si 6.769 3.110 -0.120
Si 3.676 3.382 1.878
```

## Properties
Final energy in eV per atom: -6.113
Space group: Immm, No. 71

# La2NdNiPt8

A relaxed structure of La2NdNiPt8 (PBE-GGA, the Open Quantum Materials Database).

```
12
Lattice="2.740 1.582 8.833 -2.740 1.582 8.833 0.000 -3.164 8.833" Properties=species:S:1:pos:R:3 pbc="T T T"
La 0.000 0.000 3.708
La 0.000 0.000 22.790
Nd 0.000 0.000 0.000
Ni 0.000 0.000 13.249
Pt 0.000 1.582 11.125
Pt 0.000 0.000 8.810
Pt 1.370 0.791 15.373
Pt -1.370 0.791 15.373
Pt 1.370 -0.791 11.125
Pt -1.370 -0.791 11.125
Pt 0.000 0.000 17.688
Pt 0.000 -1.582 15.373
```

## Properties
DFT formation energy in meV per atom: -864
Final energy in eV per atom: -6.583
Space group: R-3m, No. 166

# LaNd2NiPt8

A relaxed structure of LaNd2NiPt8 (PBE-GGA, the Open Quantum Materials Database).

```
12
Lattice="2.740 1.582 8.763 -2.740 1.582 8.763 0.000 -3.164 8.763" Properties=species:S:1:pos:R:3 pbc="T T T"
La 0.000 0.000 0.000
Nd 0.000 0.000 3.693
Nd 0.000 0.000 22.595
Ni 0.000 0.000 13.144
Pt 0.000 1.586 11.062
Pt 0.000 0.000 8.744
Pt 1.373 0.793 15.227
Pt -1.373 0.793 15.227
Pt 1.373 -0.793 11.062
Pt -1.373 -0.793 11.062
Pt 0.000 0.000 17.545
Pt 0.000 -1.586 15.227
```

## Properties
DFT formation energy in meV per atom: -880
Final energy in eV per atom: -6.586
Space group: R-3m, No. 166

# LaNd2Ni2Pt7

A relaxed structure of LaNd2Ni2Pt7 (PBE-GGA, the Open Quantum Materials Database).

```
12
Lattice="2.728 1.575 8.624 -2.728 1.575 8.624 0.000 -3.150 8.624" Properties=species:S:1:pos:R:3 pbc="T T T"
La 0.000 0.000 0.000
Nd 0.000 0.000 3.615
Nd 0.000 0.000 22.257
Ni 0.000 0.000 8.618
Ni 0.000 0.000 17.254
Pt 0.000 1.589 10.693
Pt 1.376 0.795 15.179
Pt -1.376 0.795 15.179
Pt 0.000 0.000 12.936
Pt 1.376 -0.795 10.693
Pt -1.376 -0.795 10.693
Pt 0.000 -1.589 15.179
```

## Properties
DFT formation energy in meV per atom: -862
Final energy in eV per atom: -6.527
Space group: R-3m, No. 166

# La2NdNi3Pt6

A relaxed structure of La2NdNi3Pt6 (PBE-GGA, the Open Quantum Materials Database).

```
12
Lattice="2.725 1.573 8.477 -2.725 1.573 8.477 0.000 -3.146 8.477" Properties=species:S:1:pos:R:3 pbc="T T T"
La 0.000 0.000 3.567
La 0.000 0.000 21.863
Nd 0.000 0.000 0.000
Ni 0.000 0.000 8.462
Ni 0.000 0.000 12.715
Ni 0.000 0.000 16.969
Pt 0.000 1.573 10.550
Pt -1.362 0.786 14.881
Pt 1.362 0.786 14.881
Pt -1.362 -0.786 10.550
Pt 1.362 -0.786 10.550
Pt 0.000 -1.573 14.881
```

## Properties
DFT formation energy in meV per atom: -798
Final energy in eV per atom: -6.435
Space group: R-3m, No. 166

# La2NdNiSn3Pt2

A relaxed structure of La2NdNiSn3Pt2 (PBE-GGA, the Open Quantum Materials Database).

```
9
Lattice="-3.746 -1.601 0.422 3.106 -6.682 2.205 -1.707 5.371 5.235" Properties=species:S:1:pos:R:3 pbc="T T T"
La 2.101 -3.520 5.284
La 0.121 1.438 6.531
Nd 0.571 -0.535 3.038
Ni 0.002 -0.002 0.012
Pt -0.372 -3.463 3.431
Pt -1.973 0.549 4.439
Sn -1.127 -2.402 0.757
Sn -2.277 0.480 1.481
Sn -0.814 -1.793 5.843
```

## Properties
Final energy in eV per atom: -5.881
Space group: Amm2, No. 38

# LaNdNi2Sb4

A relaxed structure of LaNdNi2Sb4 (PBE-GGA, the Open Quantum Materials Database).

```
8
Lattice="4.426 0.000 0.000 0.000 4.426 0.000 0.000 0.000 9.880" Properties=species:S:1:pos:R:3 pbc="T T T"
La 0.000 0.000 2.383
Nd 2.213 2.213 7.520
Ni 2.213 0.000 9.855
Ni 0.000 2.213 9.855
Sb 2.213 2.213 1.269
Sb 2.213 0.000 4.983
Sb 0.000 2.213 4.983
Sb 0.000 0.000 8.554
```

## Properties
Final energy in eV per atom: -5.423
Space group: P4mm, No. 99

# LaNdSi4Ni2

A relaxed structure of LaNdSi4Ni2 (PBE-GGA, the Open Quantum Materials Database).

```
8
Lattice="4.082 0.000 0.000 0.000 2.090 8.262 0.000 -2.090 8.262" Properties=species:S:1:pos:R:3 pbc="T T T"
La 0.000 0.000 10.022
Nd 2.041 0.000 6.493
Ni 2.041 0.000 3.006
Ni 0.000 0.000 13.535
Si 2.041 0.000 0.646
Si 0.000 0.000 4.153
Si 2.041 0.000 12.407
Si 0.000 0.000 15.838
```

## Properties
Final energy in eV per atom: -6.136
Space group: Amm2, No. 38

# LaNdSi2Ni2

A relaxed structure of LaNdSi2Ni2 (PBE-GGA, the Open Quantum Materials Database).

```
6
Lattice="-3.364 1.596 -1.812 -1.841 0.316 3.696 2.588 6.305 0.750" Properties=species:S:1:pos:R:3 pbc="T T T"
La -0.841 5.247 1.452
Nd 0.804 1.957 0.233
Ni -1.680 0.803 -0.906
Ni -0.919 0.163 1.848
Si -2.144 2.071 1.074
Si 2.150 5.238 0.623
```

## Properties
Final energy in eV per atom: -5.998
Space group: P4mm, No. 99

# LaNd2Si4Ni4

A relaxed structure of LaNd2Si4Ni4 (PBE-GGA, the Open Quantum Materials Database).

```
11
Lattice="-2.052 2.067 11.634 2.052 -2.067 11.634 2.052 2.067 -11.634" Properties=species:S:1:pos:R:3 pbc="T T T"
La 0.000 0.000 0.000
Nd 0.000 2.067 8.139
Nd 2.052 0.000 3.494
Ni 0.000 0.000 5.779
Ni 0.000 0.000 17.488
Ni 0.000 2.067 2.329
Ni 2.052 0.000 9.304
Si 0.000 0.000 10.410
Si 0.000 0.000 12.857
Si 0.000 2.067 4.664
Si 2.052 0.000 6.970
```

## Properties
Final energy in eV per atom: -6.079
Space group: Immm, No. 71

# LaNdSi4Ni2

A relaxed structure of LaNdSi4Ni2 (PBE-GGA, the Open Quantum Materials Database).

```
8
Lattice="-2.249 -2.823 2.126 2.971 -2.751 -0.510 4.634 3.900 5.962" Properties=species:S:1:pos:R:3 pbc="T T T"
La 3.064 2.480 4.478
Nd 0.803 -2.779 3.347
Ni -0.083 -0.367 1.498
Ni 3.958 0.072 6.347
Si 0.932 -2.074 0.285
Si -1.683 -2.116 1.613
Si 0.901 0.333 3.456
Si 2.956 -0.640 4.347
```

## Properties
Final energy in eV per atom: -6.135
Space group: Pm, No. 6

# LaNdNi2Sn4

A relaxed structure of LaNdNi2Sn4 (PBE-GGA, the Open Quantum Materials Database).

```
8
Lattice="4.563 0.000 0.000 0.000 2.242 9.133 0.000 -2.242 9.133" Properties=species:S:1:pos:R:3 pbc="T T T"
La 2.282 0.000 1.988
Nd 0.000 0.000 16.276
Ni 2.282 0.000 5.808
Ni 0.000 0.000 12.461
Sn 0.000 0.000 4.596
Sn 2.282 0.000 8.272
Sn 0.000 0.000 9.979
Sn 2.282 0.000 13.684
```

## Properties
Final energy in eV per atom: -5.233
Space group: Amm2, No. 38

# LaNdNi4Sn2

A relaxed structure of LaNdNi4Sn2 (PBE-GGA, the Open Quantum Materials Database).

```
8
Lattice="4.422 0.000 0.000 -2.211 3.830 0.000 0.000 0.000 9.309" Properties=species:S:1:pos:R:3 pbc="T T T"
La 2.211 1.277 0.000
Nd 0.000 2.553 4.655
Ni 0.000 2.553 1.796
Ni 2.211 1.277 2.899
Ni 2.211 1.277 6.410
Ni 0.000 2.553 7.513
Sn 0.000 0.000 2.380
Sn 0.000 0.000 6.929
```

## Properties
Final energy in eV per atom: -5.477
Space group: P-6m2, No. 187